Entry 1:
The following is a PBE-GGA calculation of a geometry-optimized HgP2PdO8 structure, from Alexandria.

Geometry as POSCAR:
```
HgP2PdO8
1.0
-2.922 3.308 -1.612
-0.547 0.598 -4.629
-6.761 -3.636 -2.057
O P Pd Hg
8 2 1 1
Cartesian
-7.783 -0.598 -3.053
-2.447 0.869 -5.245
-7.209 -1.263 -5.736
-3.606 -0.856 -2.070
-5.958 -2.672 -3.634
-3.021 1.533 -2.562
-6.624 1.126 -6.228
-4.272 2.942 -4.664
-2.438 0.173 -2.075
-7.792 0.098 -6.223
0.000 0.000 0.000
-5.115 0.135 -4.149
```

- Symmetry: R-3



Entry 2:
The following is a PBE-GGA calculation of a geometry-optimized HgPPdO2 structure, from Alexandria.

Geometry as POSCAR:
```
HgPPdO2
1.0
3.918 0.000 0.000
0.000 3.918 0.000
0.000 0.000 5.162
Pd O Hg P
1 2 1 1
Cartesian
0.000 0.000 0.000
0.000 1.959 0.000
1.959 0.000 0.000
1.959 1.959 2.581
0.000 0.000 2.581
```

- N(E_F): 3.9 states/eV/f.u.
- Symmetry: P4/mmm
- ΔE to the lowest computed polymorph: 0.0 meV/atom



Entry 3:
The following is a PBE-GGA calculation of a geometry-optimized HgP2PdO structure, from Alexandria.

Geometry as POSCAR:
```
HgP2PdO
1.0
5.020 0.000 0.000
0.000 5.020 0.000
0.000 0.000 4.001
P Pd O Hg
2 1 1 1
Cartesian
0.000 2.510 0.000
2.510 0.000 0.000
2.510 2.510 2.001
0.000 0.000 2.001
0.000 0.000 0.000
```

- N(E_F): 4.9 states/eV/f.u.
- Symmetry: P4/mmm
- ΔE to the lowest computed polymorph: 661.7 meV/atom



Entry 4:
The following is a PBE-GGA calculation of a geometry-optimized HgPPdO2 structure, from Alexandria.

Geometry as POSCAR:
```
HgPPdO2
1.0
4.046 0.000 0.000
0.000 4.046 0.000
0.000 0.000 5.374
O Pd Hg P
2 1 1 1
Cartesian
0.000 2.023 0.000
2.023 0.000 0.000
2.023 2.023 2.687
0.000 0.000 0.000
0.000 0.000 2.687
```

- N(E_F): 5.6 states/eV/f.u.
- Symmetry: P4/mmm
- ΔE to the lowest computed polymorph: 678.2 meV/atom



Entry 5:
The following is a PBE-GGA calculation of a geometry-optimized PmHgP2O8 structure, from Alexandria.

Geometry as POSCAR:
```
PmHgP2O8
1.0
5.960 -0.042 0.000
-2.681 5.323 0.000
-1.640 -2.641 5.085
O Pm Hg P
8 1 1 2
Cartesian
2.767 1.258 3.398
-0.251 1.260 4.207
2.881 2.975 0.878
0.399 2.307 0.878
4.221 0.356 1.687
0.251 -1.260 4.207
3.193 -1.300 3.398
1.739 -0.397 1.687
-1.340 2.662 2.543
0.000 0.000 0.000
2.980 -0.021 2.543
1.640 2.641 0.000
```

- N(E_F): 10.2 states/eV/f.u.
- Symmetry: I-4m2



Entry 6:
The following is a PBE-GGA calculation of a geometry-optimized PmHgPO5 structure, from Alexandria.

Geometry as POSCAR:
```
PmHgPO5
1.0
-0.981 -2.060 -5.562
-1.232 -5.182 2.788
-6.083 5.627 1.921
O P Pm Hg
10 2 2 2
Cartesian
-5.569 1.840 -3.265
-3.208 -0.373 -2.709
-3.671 -2.637 -1.575
-2.727 -3.455 2.413
-5.088 -1.241 1.856
-6.737 -0.138 0.225
-6.380 0.819 2.588
-1.559 -1.477 -1.078
-4.626 1.022 0.723
-1.916 -2.433 -3.440
-2.587 -1.708 -2.260
-5.710 0.093 1.407
0.000 0.000 0.000
-3.041 2.813 0.961
-5.626 1.131 -1.367
-2.670 -2.745 0.514
```

- N(E_F): 0.0 states/eV/f.u.
- Symmetry: C2/c



Entry 7:
The following is a PBE-GGA calculation of a geometry-optimized Pm2HgPO8 structure, from Alexandria.

Geometry as POSCAR:
```
Pm2HgPO8
1.0
5.038 0.000 0.000
-2.519 4.363 0.000
0.000 0.000 7.193
O Hg Pm P
8 1 2 1
Cartesian
0.000 2.909 3.733
2.519 1.454 3.460
-1.331 3.677 0.980
2.519 2.991 6.213
0.000 1.372 0.980
1.188 0.686 6.213
1.331 3.677 0.980
3.850 0.686 6.213
0.000 0.000 3.597
0.000 2.909 6.021
2.519 1.454 1.173
0.000 0.000 0.000
```

- N(E_F): 5.2 states/eV/f.u.
- Symmetry: P-3m1



Entry 8:
The following is a PBE-GGA calculation of a geometry-optimized HgP2PtO structure, from Alexandria.

Geometry as POSCAR:
```
HgP2PtO
1.0
4.975 0.000 0.000
0.000 4.975 0.000
0.000 0.000 3.936
P Pt Hg O
2 1 1 1
Cartesian
2.488 0.000 0.000
0.000 2.488 0.000
2.488 2.488 1.968
0.000 0.000 0.000
0.000 0.000 1.968
```

- N(E_F): 5.0 states/eV/f.u.
- Symmetry: P4/mmm
- ΔE to the lowest computed polymorph: 864.4 meV/atom



no.,formation energy from raw total energies (meV per atom)
1,-1283
2,245
3,1189
4,923
5,-2082
6,-2216
7,-1649
8,1306